No. 1
Crystalline Ac2NiSe at its relaxed geometry. Source: the Alexandria database, functional PBE.

Geometry as POSCAR:
```
Ac2NiSe
1.0
2.123 -12.278 0.000
2.123 12.278 0.000
0.000 0.000 4.524
Ac Ni Se
4 2 2
direct
0.062 0.938 0.750
0.320 0.680 0.750
0.680 0.320 0.250
0.938 0.062 0.250
0.471 0.529 0.750
0.529 0.471 0.250
0.192 0.808 0.750
0.808 0.192 0.250
```

Properties
Energy above the lowest structure with this stoichiometry, meV per atom: 7.7
Energy relative to the elements, uncorrected, eV per atom: -0.997

No. 2
Crystalline CaSi2Ru at its relaxed geometry. Source: the Alexandria database, functional PBE.

Geometry as POSCAR:
```
CaSi2Ru
1.0
3.070 0.000 0.000
0.000 3.785 0.000
-1.528 0.000 6.246
Ca Si Ru
1 2 1
direct
0.000 0.000 0.000
0.241 0.000 0.479
0.362 0.500 0.723
0.705 0.500 0.406
```

Properties
Energy relative to the elements, uncorrected, eV per atom: -0.271

No. 3
Crystalline Ti2WBr at its relaxed geometry. Source: the Alexandria database, functional PBE.

Geometry as POSCAR:
```
Ti2WBr
1.0
-2.774 2.774 6.366
2.774 -2.774 6.366
2.774 2.774 -6.366
Ti W Br
4 2 2
direct
0.083 0.625 0.958
0.375 0.333 0.458
0.667 0.125 0.042
0.875 0.917 0.542
0.000 0.000 0.000
0.750 0.250 0.500
0.250 0.750 0.500
0.500 0.500 0.000
```

Properties
Energy above the lowest structure with this stoichiometry, meV per atom: 446.0
Energy relative to the elements, uncorrected, eV per atom: 0.997

No. 4
Crystalline Cs3Ce2CuS6 at its relaxed geometry. Source: the Alexandria database, functional PBE.

Geometry as POSCAR:
```
Cs3Ce2CuS6
1.0
3.448 -6.658 0.000
3.448 6.658 0.000
-2.044 0.000 7.880
Cs Ce Cu S
3 2 1 6
direct
0.000 0.000 0.000
0.353 0.647 0.000
0.647 0.353 0.000
0.165 0.835 0.500
0.835 0.165 0.500
0.500 0.500 0.500
0.053 0.444 0.299
0.253 0.253 0.639
0.444 0.053 0.299
0.556 0.947 0.701
0.747 0.747 0.361
0.947 0.556 0.701
```

Properties
Energy relative to the elements, uncorrected, eV per atom: -1.339